[1]
A relaxed structure of SmB4Ir6, computed with PBE-GGA.

Values from the calculation:
calculated total energy: -7.86 eV per atom
formation energy from the elements: -0.165 eV/atom
SG: I-42m (121)
volume: 13.27 Å³/atom
total magnetization: 0.000 μB/f.u.

a = 6.151 Å, b = 6.151 Å, c = 6.151 Å
α = 79.36°, β = 126.32°, γ = 126.32°
Fractional coordinates of all 11 atoms:
B1 0.000 0.206 0.575
B2 0.370 0.794 0.794
B3 0.630 0.425 0.425
B4 0.000 0.575 0.206
Ir1 0.652 0.125 0.125
Ir2 0.000 0.875 0.527
Ir3 0.500 0.500 0.000
Ir4 0.348 0.473 0.473
Ir5 0.500 0.000 0.500
Ir6 0.000 0.527 0.875
Sm1 0.000 0.000 0.000

---

[2]
A relaxed structure of TaAl2Tl, computed with PBE-GGA.

Values from the calculation:
calculated total energy: -5.15 eV per atom
formation energy from the elements: 0.281 eV/atom
SG: Immm (71)
ΔE to the lowest computed polymorph: 158.2 meV/atom
volume: 19.00 Å³/atom
total magnetization: 0.000 μB/f.u.

a = 5.690 Å, b = 5.690 Å, c = 5.690 Å
α = 148.02°, β = 128.13°, γ = 62.25°
Fractional coordinates of all 4 atoms:
Ta1 0.750 0.250 0.500
Al1 0.986 0.986 0.000
Al2 0.514 0.514 0.000
Tl1 0.250 0.750 0.500

---

[3]
A relaxed structure of Dy2ZrRu, computed with PBE-GGA.

Values from the calculation:
calculated total energy: -6.52 eV per atom
formation energy from the elements: 0.236 eV/atom
SG: R-3m (166)
volume: 24.63 Å³/atom
total magnetization: 0.001 μB/f.u.

a = 3.291 Å, b = 3.291 Å, c = 10.674 Å
α = 81.13°, β = 81.13°, γ = 60.00°
Fractional coordinates of all 4 atoms:
Dy1 0.899 0.899 0.304
Dy2 0.101 0.101 0.696
Ru1 0.500 0.500 0.500
Zr1 0.000 0.000 0.000

---

[4]
A relaxed structure of CdCu2Ag2, computed with PBE-GGA.

Values from the calculation:
calculated total energy: -2.81 eV per atom
formation energy from the elements: 0.150 eV/atom
SG: P4/mbm (127)
ΔE to the lowest computed polymorph: 34.5 meV/atom
volume: 16.87 Å³/atom
total magnetization: 0.000 μB/f.u.

a = 7.652 Å, b = 7.652 Å, c = 2.881 Å
α = 90.00°, β = 90.00°, γ = 90.00°
Fractional coordinates of all 10 atoms:
Cd1 0.500 0.500 0.000
Cd2 0.000 0.000 0.000
Ag1 0.368 0.868 0.000
Ag2 0.632 0.132 0.000
Ag3 0.132 0.368 0.000
Ag4 0.868 0.632 0.000
Cu1 0.665 0.835 0.500
Cu2 0.835 0.335 0.500
Cu3 0.165 0.665 0.500
Cu4 0.335 0.165 0.500